No. 1
This record from Alexandria via LeMat-Bulk describes a geometry-optimized YTiBe3 structure. The functional is PBE.

Computed properties:
Calculated formation energy = 0.742 eV/atom
E above lowest polymorph = 0.000 eV per atom

Structure (extended XYZ):
```
5
Lattice="4.4510 0.0000 0.0000 0.0000 4.4510 0.0000 0.0000 0.0000 4.4510" Properties=species:S:1:pos:R:3 pbc="T T T"
Be 2.2255 0.0000 0.0000
Be 0.0000 2.2255 0.0000
Be 0.0000 0.0000 2.2255
Y 2.2255 2.2255 2.2255
Ti 0.0000 0.0000 0.0000
```

=====

No. 2
This record from Alexandria via LeMat-Bulk describes a geometry-optimized Y2TiBe structure. The functional is PBE.

Computed properties:
Calculated formation energy = 0.791 eV/atom

Structure (extended XYZ):
```
8
Lattice="4.2740 0.0000 0.0000 0.0000 4.2740 0.0000 2.1370 2.1370 10.0606" Properties=species:S:1:pos:R:3 pbc="T T T"
Y 5.3425 5.2878 7.5454
Y 3.1508 1.0685 2.5151
Y 3.2055 3.2603 7.5454
Y 1.1233 3.2055 2.5151
Be 2.1370 2.1370 0.0000
Be 2.1370 4.2740 5.0303
Ti 0.0000 0.0000 0.0000
Ti 4.2740 2.1370 5.0303
```

=====

No. 3
This record from Alexandria via LeMat-Bulk describes a geometry-optimized YTi3Be structure. The functional is PBE.

Computed properties:
Calculated formation energy = 1.823 eV/atom
E above lowest polymorph = 1.432 eV per atom

Structure (extended XYZ):
```
5
Lattice="4.7780 0.0000 0.0000 0.0000 4.7780 0.0000 0.0000 0.0000 4.7780" Properties=species:S:1:pos:R:3 pbc="T T T"
Ti 2.3890 0.0000 0.0000
Ti 0.0000 2.3890 0.0000
Ti 0.0000 0.0000 2.3890
Y 0.0000 0.0000 0.0000
Be 2.3890 2.3890 2.3890
```

=====

No. 4
This record from Alexandria via LeMat-Bulk describes a geometry-optimized Y3TiBe structure. The functional is PBE.

Computed properties:
Calculated formation energy = 0.929 eV/atom
E above lowest polymorph = 0.385 eV per atom

Structure (extended XYZ):
```
5
Lattice="5.2819 0.0000 0.0000 0.0000 5.2819 0.0000 0.0000 0.0000 5.2819" Properties=species:S:1:pos:R:3 pbc="T T T"
Ti 0.0000 0.0000 0.0000
Be 2.6410 2.6410 2.6410
Y 2.6410 0.0000 0.0000
Y 0.0000 2.6410 0.0000
Y 0.0000 0.0000 2.6410
```

=====

No. 5
This record from Alexandria via LeMat-Bulk describes a geometry-optimized YTiBe3 structure. The functional is PBE.

Computed properties:
Calculated formation energy = 1.844 eV/atom
E above lowest polymorph = 1.102 eV per atom

Structure (extended XYZ):
```
5
Lattice="4.5860 0.0000 0.0000 0.0000 4.5860 0.0000 0.0000 0.0000 4.5860" Properties=species:S:1:pos:R:3 pbc="T T T"
Be 2.2930 0.0000 0.0000
Be 0.0000 2.2930 0.0000
Be 0.0000 0.0000 2.2930
Y 0.0000 0.0000 0.0000
Ti 2.2930 2.2930 2.2930
```

=====

No. 6
This record from Alexandria via LeMat-Bulk describes a geometry-optimized YTi2Be structure. The functional is PBE.

Computed properties:
Calculated formation energy = 0.688 eV/atom

Structure (extended XYZ):
```
8
Lattice="-0.9024 1.0175 -4.0826 -0.9138 -4.1232 -0.8256 -9.8664 -0.0394 -0.0969" Properties=species:S:1:pos:R:3 pbc="T T T"
Ti -3.4005 -2.1778 -2.1813
Ti -8.7359 -1.6051 -4.1387
Ti -2.8949 -0.1711 -1.5483
Ti -8.3340 -2.3362 -2.1419
Be -5.8442 -2.8577 -1.6883
Be -0.9081 -1.5528 -2.4541
Y 0.0000 0.0000 0.0000
Y -5.8385 -0.2874 -3.3168
```

=====

No. 7
This record from Alexandria via LeMat-Bulk describes a geometry-optimized Y3TiBe structure. The functional is PBE.

Computed properties:
Calculated formation energy = 0.544 eV/atom
E above lowest polymorph = 0.000 eV per atom

Structure (extended XYZ):
```
5
Lattice="5.2123 0.0000 0.0000 0.0000 5.2123 0.0000 0.0000 0.0000 5.2123" Properties=species:S:1:pos:R:3 pbc="T T T"
Y 2.6061 0.0000 0.0000
Y 0.0000 2.6061 0.0000
Y 0.0000 0.0000 2.6061
Ti 2.6061 2.6061 2.6061
Be 0.0000 0.0000 0.0000
```

=====

No. 8
This record from Alexandria via LeMat-Bulk describes a geometry-optimized Ti5Be4Zn structure. The functional is PBE.

Computed properties:
Calculated formation energy = -0.145 eV/atom

Structure (extended XYZ):
```
10
Lattice="2.9548 0.0000 0.0000 0.0000 2.9548 0.0000 0.0000 0.0000 15.1189" Properties=species:S:1:pos:R:3 pbc="T T T"
Ti 1.4774 1.4774 13.3992
Ti 1.4774 1.4774 1.7197
Ti 1.4774 1.4774 7.5595
Ti 1.4774 1.4774 10.4641
Ti 1.4774 1.4774 4.6548
Be 0.0000 0.0000 6.1027
Be 0.0000 0.0000 11.9197
Be 0.0000 0.0000 3.1993
Be 0.0000 0.0000 9.0163
Zn 0.0000 0.0000 0.0000
```

=====

no.,total moment (Bohr magnetons per cell)
1,2.482
2,0.000
3,0.005
4,0.000
5,0.515
6,0.000
7,3.136
8,0.000